IrPt2Au | PBE-GGA | relaxed

Cell lengths 4.8834, 4.8834, 4.9265 Å; angles 99.83, 99.83, 33.44 degrees
Fractional positions:
Ir 0.0000 0.0000 0.0000
Pt 0.4915 0.4915 0.4827
Pt 0.7413 0.7413 0.2249
Au 0.2475 0.2475 0.7324

## Properties
Symmetry   Cm, No. 8
Distance to the lowest polymorph of the same formula   102 meV per atom
VASP energy   -5.886 eV/atom
Formation energy   0.1690 eV per atom
Total magnetic moment   0.0 μB/f.u.

=====

IrPtAu | PBE-GGA | relaxed

Cell lengths 6.4181, 6.4181, 6.4181 Å; angles 154.69, 154.69, 36.09 degrees
Fractional positions:
Ir 0.0000 0.0000 0.0000
Pt 0.6523 0.6523 0.0000
Au 0.3284 0.3284 0.0000

## Properties
Symmetry   I4mm, No. 107
Distance to the lowest polymorph of the same formula   36 meV per atom
VASP energy   -5.833 eV/atom
Formation energy   0.2264 eV per atom
Total magnetic moment   0.0 μB/f.u.

=====

IrPt2Au | PBE-GGA | relaxed

Cell lengths 9.4396, 9.4396, 9.4396 Å; angles 17.12, 17.12, 17.12 degrees
Fractional positions:
Ir 0.0000 0.0000 0.0000
Pt 0.4951 0.4951 0.4951
Pt 0.7456 0.7456 0.7456
Au 0.2483 0.2483 0.2483

## Properties
Symmetry   R3m, No. 160
Distance to the lowest polymorph of the same formula   46 meV per atom
VASP energy   -5.942 eV/atom
Formation energy   0.1134 eV per atom
Total magnetic moment   0.7 μB/f.u.

=====

IrPtAu | PBE-GGA | relaxed

Cell lengths 5.0015, 5.0015, 5.0015 Å; angles 147.43, 133.83, 57.64 degrees
Fractional positions:
Ir 0.0000 0.0000 0.0000
Pt 0.6526 0.6526 0.0000
Au 0.3279 0.3279 0.0000

## Properties
Symmetry   Imm2, No. 44
Distance to the lowest polymorph of the same formula   108 meV per atom
VASP energy   -5.761 eV/atom
Formation energy   0.2989 eV per atom
Total magnetic moment   0.0 μB/f.u.

=====

IrPtAu | PBE-GGA | relaxed

Cell lengths 4.3326, 4.3326, 4.3326 Å; angles 60.00, 60.00, 60.00 degrees
Fractional positions:
Ir 0.0000 0.0000 0.0000
Pt 0.2500 0.2500 0.2500
Au 0.7500 0.7500 0.7500

## Properties
Symmetry   F-43m, No. 216
Distance to the lowest polymorph of the same formula   462 meV per atom
VASP energy   -5.407 eV/atom
Formation energy   0.6527 eV per atom
Total magnetic moment   0.8 μB/f.u.

=====

Ir3PtAu | PBE-GGA | relaxed

Cell lengths 4.7917, 4.7917, 4.7917 Å; angles 90.00, 90.00, 90.00 degrees
Fractional positions:
Ir 0.0000 0.0000 0.5000
Ir 0.0000 0.5000 0.0000
Ir 0.5000 0.0000 0.0000
Pt 0.0000 0.0000 0.0000
Au 0.5000 0.5000 0.5000

## Properties
Symmetry   Pm-3m, No. 221
Distance to the lowest polymorph of the same formula   0 meV per atom
VASP energy   -5.115 eV/atom
Formation energy   2.0650 eV per atom
Total magnetic moment   2.9 μB/f.u.

=====

IrPt2Au | PBE-GGA | relaxed

Cell lengths 5.5945, 5.5945, 5.5945 Å; angles 151.51, 128.68, 59.74 degrees
Fractional positions:
Ir 0.0000 0.0000 0.0000
Pt 0.2396 0.7396 0.5000
Pt 0.7604 0.2604 0.5000
Au 0.5000 0.5000 0.0000

## Properties
Symmetry   Immm, No. 71
Distance to the lowest polymorph of the same formula   144 meV per atom
VASP energy   -5.844 eV/atom
Formation energy   0.2115 eV per atom
Total magnetic moment   0.0 μB/f.u.

=====

IrPt2Au | PBE-GGA | relaxed

Cell lengths 4.8719, 4.8719, 4.8719 Å; angles 131.43, 131.43, 71.13 degrees
Fractional positions:
Ir 0.0000 0.0000 0.0000
Pt 0.2500 0.7500 0.5000
Pt 0.7500 0.2500 0.5000
Au 0.5000 0.5000 0.0000

## Properties
Symmetry   I4/mmm, No. 139
Distance to the lowest polymorph of the same formula   143 meV per atom
VASP energy   -5.845 eV/atom
Formation energy   0.2101 eV per atom
Total magnetic moment   0.0 μB/f.u.

=====

IrPt4Au | PBE-GGA | relaxed

Cell lengths 5.2420, 5.2420, 5.2420 Å; angles 60.00, 60.00, 60.00 degrees
Fractional positions:
Ir 0.0000 0.0000 0.0000
Pt 0.1244 0.6252 0.6252
Pt 0.6252 0.1244 0.6252
Pt 0.6252 0.6252 0.1244
Pt 0.6252 0.6252 0.6252
Au 0.2500 0.2500 0.2500

## Properties
Symmetry   F-43m, No. 216
VASP energy   -5.595 eV/atom
Formation energy   0.4557 eV per atom
Total magnetic moment   1.8 μB/f.u.

=====

IrPt2Au | PBE-GGA | relaxed

Cell lengths 2.7870, 2.7870, 9.6966 Å; angles 90.00, 90.00, 120.78 degrees
Fractional positions:
Ir 0.0000 0.0000 0.0000
Pt 0.0000 0.0000 0.5122
Pt 0.5000 0.5000 0.7611
Au 0.5000 0.5000 0.2538

## Properties
Symmetry   Cmm2, No. 35
Distance to the lowest polymorph of the same formula   126 meV per atom
VASP energy   -5.862 eV/atom
Formation energy   0.1931 eV per atom
Total magnetic moment   0.0 μB/f.u.

=====

IrPt2Au | PBE-GGA | relaxed

Cell lengths 5.5942, 5.5942, 5.5942 Å; angles 151.49, 128.69, 59.75 degrees
Fractional positions:
Ir 0.0000 0.0000 0.0000
Pt 0.2350 0.7350 0.5000
Pt 0.4825 0.4825 0.0000
Au 0.7445 0.2445 0.5000

## Properties
Symmetry   Imm2, No. 44
Distance to the lowest polymorph of the same formula   134 meV per atom
VASP energy   -5.854 eV/atom
Formation energy   0.2011 eV per atom
Total magnetic moment   0.0 μB/f.u.

=====

IrPt2Au | PBE-GGA | relaxed

Cell lengths 2.8177, 3.9188, 5.7814 Å; angles 90.00, 90.00, 90.00 degrees
Fractional positions:
Ir 0.0000 0.0000 0.0000
Pt 0.0000 0.0000 0.4782
Pt 0.5000 0.5000 0.2256
Au 0.5000 0.5000 0.7372

## Properties
Symmetry   Pmm2, No. 25
Distance to the lowest polymorph of the same formula   122 meV per atom
VASP energy   -5.866 eV/atom
Formation energy   0.1889 eV per atom
Total magnetic moment   0.0 μB/f.u.

=====

IrPt2Au | PBE-GGA | relaxed

Cell lengths 4.5027, 4.5027, 4.5027 Å; angles 60.00, 60.00, 60.00 degrees
Fractional positions:
Ir 0.0000 0.0000 0.0000
Pt 0.2500 0.2500 0.2500
Pt 0.7500 0.7500 0.7500
Au 0.5000 0.5000 0.5000

## Properties
Symmetry   Fm-3m, No. 225
Distance to the lowest polymorph of the same formula   261 meV per atom
VASP energy   -5.727 eV/atom
Formation energy   0.3280 eV per atom
Total magnetic moment   0.0 μB/f.u.

=====

IrPt2Au | PBE-GGA | relaxed

Cell lengths 2.8314, 3.9065, 5.7777 Å; angles 90.00, 90.00, 90.00 degrees
Fractional positions:
Ir 0.0000 0.0000 0.0000
Pt 0.5000 0.5000 0.2344
Pt 0.5000 0.5000 0.7656
Au 0.0000 0.0000 0.5000

## Properties
Symmetry   Pmmm, No. 47
Distance to the lowest polymorph of the same formula   83 meV per atom
VASP energy   -5.905 eV/atom
Formation energy   0.1500 eV per atom
Total magnetic moment   0.0 μB/f.u.

=====

Sb2IrPtAu | PBE-GGA | relaxed

Cell lengths 5.0356, 5.0356, 5.0329 Å; angles 90.00, 90.00, 90.00 degrees
Fractional positions:
Sb 0.0000 0.5000 0.0000
Sb 0.5000 0.0000 0.0000
Ir 0.0000 0.0000 0.5000
Pt 0.5000 0.5000 0.0000
Au 0.5000 0.5000 0.5000

## Properties
Symmetry   P4/mmm, No. 123
Formation energy (no corrections)   1.032 eV/atom
VASP energy   -4.252 eV/atom
Total magnetic moment   0.0 μB/f.u.

=====

Te2IrPtAu | PBE-GGA | relaxed

Cell lengths 5.2204, 5.2204, 4.8831 Å; angles 90.00, 90.00, 90.00 degrees
Fractional positions:
Te 0.0000 0.5000 0.0000
Te 0.5000 0.0000 0.0000
Ir 0.0000 0.0000 0.5000
Pt 0.0000 0.0000 0.0000
Au 0.5000 0.5000 0.5000

## Properties
Symmetry   P4/mmm, No. 123
Formation energy (no corrections)   1.096 eV/atom
VASP energy   -3.796 eV/atom
Total magnetic moment   0.0 μB/f.u.

=====

Th2IrPtAu | PBE-GGA | relaxed

Cell lengths 7.8640, 4.2842, 7.9095 Å; angles 90.00, 113.97, 90.00 degrees
Fractional positions:
Th 0.0319 0.2500 0.2188
Th 0.3759 0.7500 0.6730
Th 0.6241 0.2500 0.3270
Th 0.9681 0.7500 0.7812
Ir 0.1142 0.2500 0.6193
Ir 0.8858 0.7500 0.3807
Pt 0.2606 0.2500 0.9903
Pt 0.7394 0.7500 0.0097
Au 0.3242 0.7500 0.2541
Au 0.6758 0.2500 0.7459

## Properties
Symmetry   P2_1/m, No. 11
VASP energy   -7.444 eV/atom
Formation energy   -0.8399 eV per atom
Total magnetic moment   0.0 μB/f.u.

=====

ZnIrPtAu2 | PBE-GGA | relaxed

Cell lengths 5.0925, 5.0925, 4.7451 Å; angles 90.00, 90.00, 90.00 degrees
Fractional positions:
Zn 0.0000 0.0000 0.0000
Ir 0.5000 0.5000 0.0000
Pt 0.5000 0.5000 0.5000
Au 0.0000 0.5000 0.5000
Au 0.5000 0.0000 0.5000

## Properties
Symmetry   P4/mmm, No. 123
VASP energy   -3.379 eV/atom
Formation energy   1.1671 eV per atom
Total magnetic moment   0.0 μB/f.u.

=====

Pu2IrAu | PBE-GGA | relaxed

Cell lengths 11.1765, 11.1765, 11.1765 Å; angles 14.90, 14.90, 14.90 degrees
Fractional positions:
Pu 0.0915 0.0915 0.0915
Pu 0.9085 0.9085 0.9085
Ir 0.5000 0.5000 0.5000
Au 0.0000 0.0000 0.0000

## Properties
Symmetry   R-3m, No. 166
VASP energy   -10.104 eV/atom
Formation energy   0.0970 eV per atom
Total magnetic moment   9.7 μB/f.u.

=====

Pu3Ir2Au | PBE-GGA | relaxed

Cell lengths 3.3317, 3.3317, 11.2823 Å; angles 90.00, 90.00, 90.00 degrees
Fractional positions:
Pu 0.0000 0.0000 0.0000
Pu 0.0000 0.0000 0.3085
Pu 0.0000 0.0000 0.6915
Ir 0.5000 0.5000 0.1414
Ir 0.5000 0.5000 0.8586
Au 0.5000 0.5000 0.5000

## Properties
Symmetry   P4/mmm, No. 123
VASP energy   -10.843 eV/atom
Formation energy   -0.1776 eV per atom
Total magnetic moment   10.9 μB/f.u.